# Pm12Tc3Te5 (GGA-PBE, optimized geometry)
data_Pm12Tc3Te5
_chemical_formula_sum 'Pm48 Tc12 Te20'
_symmetry_space_group_name_H-M 'P 1'
_symmetry_Int_Tables_number 1
_cell_length_a 15.3782
_cell_length_b 15.3782
_cell_length_c 15.3782
_cell_angle_alpha 109.47
_cell_angle_beta 109.47
_cell_angle_gamma 109.47
loop_
_symmetry_equiv_pos_as_xyz
'x,y,z'
loop_
_atom_site_label
_atom_site_fract_x
_atom_site_fract_y
_atom_site_fract_z
Tc1 0.6250 0.3750 0.7500
Pm1 0.6083 0.7377 0.6674
Te1 0.0000 0.0000 0.5000
Te2 0.0000 0.0000 0.0000
Pm2 0.3706 0.9297 0.7623
Tc2 0.7500 0.3750 0.1250
Pm3 0.9297 0.5591 0.1674
Tc3 0.2500 0.1250 0.3750
Tc4 0.1250 0.8750 0.7500
Pm4 0.4409 0.0703 0.3326
Te3 0.1250 0.3750 0.2500
Pm5 0.0703 0.6294 0.7377
Te4 0.5000 0.0000 0.0000
Pm6 0.6083 0.8706 0.4409
Pm7 0.7377 0.6083 0.1674
Te5 0.3750 0.2500 0.1250
Te6 0.8750 0.6250 0.7500
Pm8 0.5703 0.2377 0.1294
Pm9 0.8326 0.8917 0.2623
Pm10 0.8706 0.2623 0.4297
Tc5 0.3750 0.6250 0.2500
Pm11 0.3326 0.5703 0.4409
Pm12 0.0591 0.8917 0.1294
Pm13 0.8706 0.6083 0.9409
Pm14 0.0703 0.4409 0.8326
Pm15 0.9409 0.1083 0.8706
Pm16 0.6674 0.2377 0.6083
Pm17 0.4409 0.3706 0.6083
Te7 0.2500 0.8750 0.1250
Pm18 0.3706 0.4409 0.1083
Pm19 0.7623 0.3326 0.8917
Pm20 0.1083 0.9409 0.3706
Te8 0.6250 0.8750 0.2500
Pm21 0.8326 0.9409 0.0703
Pm22 0.4297 0.6674 0.0591
Tc6 0.2500 0.6250 0.8750
Pm23 0.1674 0.0591 0.9297
Pm24 0.5703 0.3326 0.9409
Pm25 0.2377 0.5703 0.6294
Pm26 0.7377 0.1294 0.0703
Pm27 0.6674 0.4297 0.5591
Te9 0.6250 0.7500 0.8750
Tc7 0.3750 0.7500 0.6250
Pm28 0.6294 0.5591 0.8917
Pm29 0.0591 0.1674 0.4297
Te10 0.2500 0.3750 0.6250
Pm30 0.1294 0.3917 0.0591
Pm31 0.7623 0.4297 0.3706
Pm32 0.9297 0.3706 0.2623
Tc8 0.7500 0.8750 0.6250
Pm33 0.3917 0.2623 0.3326
Pm34 0.2377 0.6674 0.1083
Pm35 0.8917 0.0591 0.6294
Te11 0.0000 0.5000 0.0000
Tc9 0.8750 0.1250 0.2500
Pm36 0.5591 0.6294 0.3917
Te12 0.5000 0.0000 0.5000
Tc10 0.6250 0.2500 0.3750
Tc11 0.1250 0.2500 0.8750
Pm37 0.6294 0.0703 0.2377
Pm38 0.3326 0.7623 0.3917
Pm39 0.2623 0.8706 0.9297
Te13 0.7500 0.1250 0.8750
Pm40 0.5591 0.9297 0.6674
Te14 0.8750 0.2500 0.6250
Te15 0.7500 0.6250 0.3750
Te16 0.3750 0.1250 0.7500
Te17 0.5000 0.5000 0.5000
Tc12 0.8750 0.7500 0.1250
Te18 0.5000 0.5000 0.0000
Pm41 0.8917 0.8326 0.7623
Te19 0.1250 0.7500 0.3750
Pm42 0.4297 0.7623 0.8706
Pm43 0.1294 0.7377 0.5703
Pm44 0.2623 0.3917 0.8326
Pm45 0.3917 0.1294 0.5591
Pm46 0.9409 0.8326 0.5703
Pm47 0.1674 0.1083 0.7377
Pm48 0.1083 0.1674 0.2377
Te20 0.0000 0.5000 0.5000
# VASP energy   -0.1982 hartree per atom
# Spin magnetization   0.0001 μB/atom
# Raw formation energy   -201.7 meV/atom
# Space-group type   Ia-3d



# Hf12CoPt6 (GGA-PBE, optimized geometry)
data_Hf12CoPt6
_chemical_formula_sum 'Hf12 Co1 Pt6'
_symmetry_space_group_name_H-M 'P 1'
_symmetry_Int_Tables_number 1
_cell_length_a 7.6815
_cell_length_b 7.6815
_cell_length_c 7.6815
_cell_angle_alpha 99.41
_cell_angle_beta 99.41
_cell_angle_gamma 99.41
loop_
_symmetry_equiv_pos_as_xyz
'x,y,z'
loop_
_atom_site_label
_atom_site_fract_x
_atom_site_fract_y
_atom_site_fract_z
Hf1 0.5897 0.1768 0.4358
Pt1 0.1367 0.6141 0.3003
Hf2 0.4103 0.8232 0.5642
Hf3 0.5642 0.4103 0.8232
Hf4 0.1768 0.4358 0.5897
Pt2 0.6141 0.3003 0.1367
Hf5 0.0515 0.6884 0.9371
Hf6 0.4358 0.5897 0.1768
Pt3 0.3003 0.1367 0.6141
Pt4 0.6997 0.8633 0.3859
Hf7 0.9485 0.3116 0.0629
Hf8 0.8232 0.5642 0.4103
Co1 0.0000 0.0000 0.0000
Hf9 0.0629 0.9485 0.3116
Pt5 0.3859 0.6997 0.8633
Hf10 0.6884 0.9371 0.0515
Hf11 0.3116 0.0629 0.9485
Hf12 0.9371 0.0515 0.6884
Pt6 0.8633 0.3859 0.6997
# VASP energy   -0.3341 hartree per atom
# Spin magnetization   0.0000 μB/atom
# Space-group type   R-3
# Formation energy   -0.523 eV per atom



# DyErGe2 (GGA-PBE, optimized geometry)
data_DyErGe2
_chemical_formula_sum 'Dy1 Er1 Ge2'
_symmetry_space_group_name_H-M 'P 1'
_symmetry_Int_Tables_number 1
_cell_length_a 3.2079
_cell_length_b 5.2894
_cell_length_c 5.2894
_cell_angle_alpha 90.00
_cell_angle_beta 90.00
_cell_angle_gamma 90.00
loop_
_symmetry_equiv_pos_as_xyz
'x,y,z'
loop_
_atom_site_label
_atom_site_fract_x
_atom_site_fract_y
_atom_site_fract_z
Er1 0.5000 0.5000 0.5000
Ge1 0.0000 0.5000 0.0000
Ge2 0.0000 0.0000 0.5000
Dy1 0.5000 0.0000 0.0000
# VASP energy   -0.1912 hartree per atom
# Spin magnetization   0.0000 μB/atom
# Space-group type   P4/mmm
# Formation energy   -0.602 eV per atom



# Li2HfRh2 (GGA-PBE, optimized geometry)
data_Li2HfRh2
_chemical_formula_sum 'Li2 Hf1 Rh2'
_symmetry_space_group_name_H-M 'P 1'
_symmetry_Int_Tables_number 1
_cell_length_a 3.2916
_cell_length_b 3.2916
_cell_length_c 7.4290
_cell_angle_alpha 77.20
_cell_angle_beta 77.20
_cell_angle_gamma 90.00
loop_
_symmetry_equiv_pos_as_xyz
'x,y,z'
loop_
_atom_site_label
_atom_site_fract_x
_atom_site_fract_y
_atom_site_fract_z
Li1 0.7500 0.2500 0.5000
Li2 0.2500 0.7500 0.5000
Rh1 0.6038 0.6038 0.7925
Rh2 0.3962 0.3962 0.2075
Hf1 0.0000 0.0000 0.0000
# VASP energy   -0.2234 hartree per atom
# Spin magnetization   0.0000 μB/atom
# Space-group type   I4/mmm
# Formation energy   -0.381 eV per atom



# Ca2ScTa (GGA-PBE, optimized geometry)
data_Ca2ScTa
_chemical_formula_sum 'Ca2 Sc1 Ta1'
_symmetry_space_group_name_H-M 'P 1'
_symmetry_Int_Tables_number 1
_cell_length_a 5.1325
_cell_length_b 4.5702
_cell_length_c 4.5702
_cell_angle_alpha 90.00
_cell_angle_beta 90.00
_cell_angle_gamma 90.00
loop_
_symmetry_equiv_pos_as_xyz
'x,y,z'
loop_
_atom_site_label
_atom_site_fract_x
_atom_site_fract_y
_atom_site_fract_z
Ta1 0.5000 0.0000 0.5000
Ca1 0.0000 0.5000 0.5000
Ca2 0.0000 0.0000 0.0000
Sc1 0.5000 0.5000 0.0000
# VASP energy   -0.1784 hartree per atom
# Spin magnetization   0.3470 μB/atom
# Space-group type   P4/mmm
# Formation energy   0.692 eV per atom



# ZrAsI (GGA-PBE, optimized geometry)
data_ZrAsI
_chemical_formula_sum 'Zr2 As2 I2'
_symmetry_space_group_name_H-M 'P 1'
_symmetry_Int_Tables_number 1
_cell_length_a 3.9588
_cell_length_b 5.3588
_cell_length_c 9.4309
_cell_angle_alpha 90.00
_cell_angle_beta 90.09
_cell_angle_gamma 90.00
loop_
_symmetry_equiv_pos_as_xyz
'x,y,z'
loop_
_atom_site_label
_atom_site_fract_x
_atom_site_fract_y
_atom_site_fract_z
Zr1 0.7497 0.2500 0.9039
As1 0.2504 0.2500 0.1001
I1 0.7512 0.7500 0.3325
I2 0.2488 0.2500 0.6675
As2 0.7496 0.7500 0.8999
Zr2 0.2503 0.7500 0.0961
# VASP energy   -0.2129 hartree per atom
# Spin magnetization   0.0000 μB/atom
# Raw formation energy   -878.3 meV/atom
# Space-group type   P2_1/m



# SrLaSc2Tc (GGA-PBE, optimized geometry)
data_SrLaSc2Tc
_chemical_formula_sum 'Sr1 La1 Sc2 Tc1'
_symmetry_space_group_name_H-M 'P 1'
_symmetry_Int_Tables_number 1
_cell_length_a 5.2953
_cell_length_b 5.2953
_cell_length_c 5.4245
_cell_angle_alpha 90.00
_cell_angle_beta 90.00
_cell_angle_gamma 90.00
loop_
_symmetry_equiv_pos_as_xyz
'x,y,z'
loop_
_atom_site_label
_atom_site_fract_x
_atom_site_fract_y
_atom_site_fract_z
La1 0.0000 0.0000 0.5000
Sr1 0.5000 0.5000 0.5000
Sc1 0.0000 0.5000 0.0000
Tc1 0.0000 0.0000 0.0000
Sc2 0.5000 0.0000 0.0000
# VASP energy   -0.2164 hartree per atom
# Spin magnetization   0.0000 μB/atom
# Space-group type   P4/mmm
# Formation energy   0.038 eV per atom



# ZrPa2Tc3 (GGA-PBE, optimized geometry)
data_ZrPa2Tc3
_chemical_formula_sum 'Zr2 Pa4 Tc6'
_symmetry_space_group_name_H-M 'P 1'
_symmetry_Int_Tables_number 1
_cell_length_a 4.8032
_cell_length_b 4.8032
_cell_length_c 11.7560
_cell_angle_alpha 90.00
_cell_angle_beta 90.00
_cell_angle_gamma 120.00
loop_
_symmetry_equiv_pos_as_xyz
'x,y,z'
loop_
_atom_site_label
_atom_site_fract_x
_atom_site_fract_y
_atom_site_fract_z
Pa1 0.6667 0.3333 0.8271
Zr1 0.3333 0.6667 0.6631
Zr2 0.6667 0.3333 0.3369
Pa2 0.0000 0.0000 0.0000
Tc1 0.0000 0.0000 0.2568
Pa3 0.0000 0.0000 0.5000
Tc2 0.6667 0.3333 0.0859
Tc3 0.0000 0.0000 0.7432
Tc4 0.6667 0.3333 0.5808
Pa4 0.3333 0.6667 0.1729
Tc5 0.3333 0.6667 0.9141
Tc6 0.3333 0.6667 0.4192
# VASP energy   -0.3688 hartree per atom
# Spin magnetization   0.0000 μB/atom
# Space-group type   P-3m1
# Formation energy   -0.261 eV per atom



# PdNCl (GGA-PBE, optimized geometry)
data_PdNCl
_chemical_formula_sum 'Pd2 N2 Cl2'
_symmetry_space_group_name_H-M 'P 1'
_symmetry_Int_Tables_number 1
_cell_length_a 4.0965
_cell_length_b 6.2851
_cell_length_c 5.3860
_cell_angle_alpha 105.78
_cell_angle_beta 90.00
_cell_angle_gamma 109.02
loop_
_symmetry_equiv_pos_as_xyz
'x,y,z'
loop_
_atom_site_label
_atom_site_fract_x
_atom_site_fract_y
_atom_site_fract_z
Pd1 0.9552 0.9104 0.7491
N1 0.4725 0.9451 0.8896
Pd2 0.0448 0.0896 0.2509
N2 0.5275 0.0549 0.1104
Cl1 0.1567 0.3133 0.7002
Cl2 0.8433 0.6867 0.2998
# VASP energy   -0.1841 hartree per atom
# Spin magnetization   0.0000 μB/atom
# Raw formation energy   111.8 meV/atom
# Space-group type   C2/m



# ZrTi5Sb4 (GGA-PBE, optimized geometry)
data_ZrTi5Sb4
_chemical_formula_sum 'Zr2 Ti10 Sb8'
_symmetry_space_group_name_H-M 'P 1'
_symmetry_Int_Tables_number 1
_cell_length_a 5.0141
_cell_length_b 8.5300
_cell_length_c 9.8607
_cell_angle_alpha 90.00
_cell_angle_beta 90.00
_cell_angle_gamma 90.00
loop_
_symmetry_equiv_pos_as_xyz
'x,y,z'
loop_
_atom_site_label
_atom_site_fract_x
_atom_site_fract_y
_atom_site_fract_z
Ti1 0.2615 0.1718 0.7389
Ti2 0.7385 0.3282 0.2389
Ti3 0.2615 0.8282 0.2611
Sb1 0.2168 0.5000 0.8063
Sb2 0.5107 0.1936 0.0000
Ti4 0.7385 0.6718 0.2389
Sb3 0.7832 0.0000 0.3063
Zr1 0.9930 0.5000 0.5000
Ti5 0.2276 0.0000 0.5000
Ti6 0.2615 0.1718 0.2611
Sb4 0.5107 0.8064 0.0000
Zr2 0.0070 0.0000 0.0000
Sb5 0.2168 0.5000 0.1937
Sb6 0.7832 0.0000 0.6937
Ti7 0.7385 0.6718 0.7611
Ti8 0.2615 0.8282 0.7389
Sb7 0.4893 0.3064 0.5000
Ti9 0.7385 0.3282 0.7611
Sb8 0.4893 0.6936 0.5000
Ti10 0.7724 0.5000 0.0000
# VASP energy   -0.2455 hartree per atom
# Spin magnetization   0.1989 μB/atom
# Raw formation energy   -230.3 meV/atom
# Space-group type   Pmmn



# Sm4Te3Se (GGA-PBE, optimized geometry)
data_Sm4Te3Se
_chemical_formula_sum 'Sm4 Te3 Se1'
_symmetry_space_group_name_H-M 'P 1'
_symmetry_Int_Tables_number 1
_cell_length_a 4.3654
_cell_length_b 4.3654
_cell_length_c 14.6356
_cell_angle_alpha 81.42
_cell_angle_beta 81.42
_cell_angle_gamma 60.00
loop_
_symmetry_equiv_pos_as_xyz
'x,y,z'
loop_
_atom_site_label
_atom_site_fract_x
_atom_site_fract_y
_atom_site_fract_z
Te1 0.7471 0.7471 0.7586
Sm1 0.3681 0.3681 0.8957
Sm2 0.1253 0.1253 0.6242
Se1 0.0000 0.0000 0.0000
Sm3 0.6319 0.6319 0.1043
Te2 0.2529 0.2529 0.2414
Sm4 0.8747 0.8747 0.3758
Te3 0.5000 0.5000 0.5000
# VASP energy   -0.2009 hartree per atom
# Spin magnetization   0.0000 μB/atom
# Raw formation energy   -1492.9 meV/atom
# Space-group type   R-3m



# Pm4DyZn (GGA-PBE, optimized geometry)
data_Pm4DyZn
_chemical_formula_sum 'Pm4 Dy1 Zn1'
_symmetry_space_group_name_H-M 'P 1'
_symmetry_Int_Tables_number 1
_cell_length_a 3.6399
_cell_length_b 3.6399
_cell_length_c 13.8969
_cell_angle_alpha 90.00
_cell_angle_beta 90.00
_cell_angle_gamma 90.00
loop_
_symmetry_equiv_pos_as_xyz
'x,y,z'
loop_
_atom_site_label
_atom_site_fract_x
_atom_site_fract_y
_atom_site_fract_z
Dy1 0.0000 0.0000 0.0000
Zn1 0.5000 0.5000 0.5000
Pm1 0.5000 0.5000 0.1807
Pm2 0.0000 0.0000 0.6315
Pm3 0.0000 0.0000 0.3685
Pm4 0.5000 0.5000 0.8193
# VASP energy   -0.1559 hartree per atom
# Spin magnetization   0.0000 μB/atom
# Space-group type   P4/mmm
# Formation energy   -0.096 eV per atom



# La3SmPPb2 (GGA-PBE, optimized geometry)
data_La3SmPPb2
_chemical_formula_sum 'La3 Sm1 P1 Pb2'
_symmetry_space_group_name_H-M 'P 1'
_symmetry_Int_Tables_number 1
_cell_length_a 5.3346
_cell_length_b 5.4378
_cell_length_c 9.3192
_cell_angle_alpha 106.96
_cell_angle_beta 106.63
_cell_angle_gamma 90.00
loop_
_symmetry_equiv_pos_as_xyz
'x,y,z'
loop_
_atom_site_label
_atom_site_fract_x
_atom_site_fract_y
_atom_site_fract_z
La1 0.8299 0.8299 0.6599
Pb1 0.6340 0.6340 0.2680
Sm1 0.5000 0.0000 0.0000
Pb2 0.3660 0.3660 0.7320
La2 0.0000 0.5000 0.0000
P1 0.0000 0.0000 0.0000
La3 0.1701 0.1701 0.3401
# VASP energy   -0.1964 hartree per atom
# Spin magnetization   0.0000 μB/atom
# Space-group type   Immm
# Formation energy   -0.725 eV per atom



# Dy5Sb4S (GGA-PBE, optimized geometry)
data_Dy5Sb4S
_chemical_formula_sum 'Dy5 Sb4 S1'
_symmetry_space_group_name_H-M 'P 1'
_symmetry_Int_Tables_number 1
_cell_length_a 6.1100
_cell_length_b 7.4411
_cell_length_c 7.4411
_cell_angle_alpha 80.30
_cell_angle_beta 65.76
_cell_angle_gamma 65.76
loop_
_symmetry_equiv_pos_as_xyz
'x,y,z'
loop_
_atom_site_label
_atom_site_fract_x
_atom_site_fract_y
_atom_site_fract_z
Dy1 0.7144 0.1878 0.3856
Sb1 0.1992 0.2072 0.3965
Sb2 0.4064 0.3965 0.7928
Dy2 0.5000 0.0000 0.0000
Sb3 0.8029 0.7928 0.6035
Dy3 0.9022 0.3856 0.8122
S1 0.0016 0.0000 0.0000
Dy4 0.2878 0.8122 0.6144
Dy5 0.1000 0.6144 0.1878
Sb4 0.5958 0.6035 0.2072
# VASP energy   -0.2074 hartree per atom
# Spin magnetization   0.0000 μB/atom
# Raw formation energy   -1280.9 meV/atom
# Space-group type   I4



# LaSmDyTm (GGA-PBE, optimized geometry)
data_LaSmDyTm
_chemical_formula_sum 'La1 Sm1 Dy1 Tm1'
_symmetry_space_group_name_H-M 'P 1'
_symmetry_Int_Tables_number 1
_cell_length_a 5.7432
_cell_length_b 5.7432
_cell_length_c 5.7432
_cell_angle_alpha 60.00
_cell_angle_beta 60.00
_cell_angle_gamma 60.00
loop_
_symmetry_equiv_pos_as_xyz
'x,y,z'
loop_
_atom_site_label
_atom_site_fract_x
_atom_site_fract_y
_atom_site_fract_z
Dy1 0.0000 0.0000 0.0000
La1 0.2500 0.2500 0.2500
Sm1 0.7500 0.7500 0.7500
Tm1 0.5000 0.5000 0.5000
# VASP energy   -0.1683 hartree per atom
# Spin magnetization   0.0000 μB/atom
# Space-group type   F-43m
# Formation energy   0.101 eV per atom



# PrHoEr2Ag4 (GGA-PBE, optimized geometry)
data_PrHoEr2Ag4
_chemical_formula_sum 'Pr1 Ho1 Er2 Ag4'
_symmetry_space_group_name_H-M 'P 1'
_symmetry_Int_Tables_number 1
_cell_length_a 5.1573
_cell_length_b 5.1573
_cell_length_c 9.0063
_cell_angle_alpha 73.36
_cell_angle_beta 73.36
_cell_angle_gamma 60.00
loop_
_symmetry_equiv_pos_as_xyz
'x,y,z'
loop_
_atom_site_label
_atom_site_fract_x
_atom_site_fract_y
_atom_site_fract_z
Ag1 0.6203 0.6203 0.1391
Ag2 0.3797 0.3797 0.8609
Ag3 0.8726 0.8726 0.3822
Er1 0.7515 0.7515 0.7456
Ho1 0.5000 0.5000 0.5000
Er2 0.2485 0.2485 0.2544
Pr1 0.0000 0.0000 0.0000
Ag4 0.1274 0.1274 0.6178
# VASP energy   -0.1484 hartree per atom
# Spin magnetization   0.0000 μB/atom
# Space-group type   R-3m
# Formation energy   -0.301 eV per atom